Record 1
# LiTaPd4

A relaxed LiTaPd4 crystal (PBE, the Alexandria database).

abc: 4.888 4.888 7.755
angles: 113.51 113.51 33.38
Fractional coordinates of all 6 atoms:
Li  0.000  0.000  0.000
Ta  0.000  0.000  0.500
Pd  0.334  0.334  0.667
Pd  0.336  0.336  0.166
Pd  0.664  0.664  0.834
Pd  0.666  0.666  0.333

## Properties
The total energy is -6.124 eV per atom. As for the formation energy: -35 kJ per mole of atoms. As for the distance to the lowest polymorph of the same formula: 0.0000 eV/atom. The size of the total moment comes out at 0.00 μB/atom. As for the space-group type: C2/m (12).



Record 2
# CaPmPr4S8

A relaxed CaPmPr4S8 crystal (PBE, the Alexandria database).

abc: 8.372 8.372 8.372
angles: 60.19 60.19 60.19
Fractional coordinates of all 14 atoms:
Ca  0.000  0.000  0.000
Pm  0.627  0.627  0.627
Pr  0.120  0.627  0.627
Pr  0.250  0.250  0.250
Pr  0.627  0.120  0.627
Pr  0.627  0.627  0.120
S  0.383  0.383  0.383
S  0.386  0.386  0.849
S  0.386  0.849  0.386
S  0.400  0.865  0.865
S  0.849  0.386  0.386
S  0.865  0.400  0.865
S  0.865  0.865  0.400
S  0.867  0.867  0.867

## Properties
The total energy is -6.166 eV per atom. The value obtained for the formation energy without anion corrections is -1959.6 meV per atom. The size of the total moment comes out at 0.00 μB/atom. As for the space-group type: R3m (160).